No. 1
VASP calculation (PBE-GGA) on a relaxed Pr4TePtSe2 crystal.

a = 7.560 Å, b = 4.265 Å, c = 7.624 Å
α = 90.00°, β = 109.06°, γ = 90.00°
Fractional positions:
Pr (0.237, 0.000, 0.236)
Pr (0.260, 0.500, 0.771)
Pr (0.740, 0.500, 0.229)
Pr (0.763, 0.000, 0.764)
Te (0.500, 0.500, 0.500)
Pt (0.500, 0.000, 0.000)
Se (0.000, 0.000, 0.500)
Se (0.000, 0.500, 0.000)

* energy: -5.94 eV/atom
* ΔE_f (raw): -148 kJ/mol of atoms
* space group: P2/m (10)

No. 2
VASP calculation (PBE-GGA) on a relaxed PuPb6O12 crystal.

a = 6.842 Å, b = 6.842 Å, c = 6.842 Å
α = 99.41°, β = 99.41°, γ = 99.41°
Fractional positions:
Pu (0.000, 0.000, 0.000)
Pb (0.140, 0.601, 0.318)
Pb (0.318, 0.140, 0.601)
Pb (0.399, 0.682, 0.860)
Pb (0.601, 0.318, 0.140)
Pb (0.682, 0.860, 0.399)
Pb (0.860, 0.399, 0.682)
O (0.047, 0.711, 0.898)
O (0.102, 0.953, 0.289)
O (0.174, 0.419, 0.586)
O (0.289, 0.102, 0.953)
O (0.414, 0.826, 0.581)
O (0.419, 0.586, 0.174)
O (0.581, 0.414, 0.826)
O (0.586, 0.174, 0.419)
O (0.711, 0.898, 0.047)
O (0.826, 0.581, 0.414)
O (0.898, 0.047, 0.711)
O (0.953, 0.289, 0.102)

* energy: -6.29 eV/atom
* ΔE_f (raw): -119 kJ/mol of atoms
* space group: R-3 (148)

No. 3
VASP calculation (PBE-GGA) on a relaxed Tb3HoTl4 crystal.

a = 3.796 Å, b = 3.796 Å, c = 15.199 Å
α = 90.00°, β = 90.00°, γ = 90.00°
Fractional positions:
Tb (0.000, 0.000, 0.000)
Tb (0.000, 0.000, 0.251)
Tb (0.000, 0.000, 0.749)
Ho (0.000, 0.000, 0.500)
Tl (0.500, 0.500, 0.126)
Tl (0.500, 0.500, 0.377)
Tl (0.500, 0.500, 0.623)
Tl (0.500, 0.500, 0.874)

* energy relative to the lowest polymorph listed for this composition: 0.0 meV/atom
* energy: -3.84 eV/atom
* space group: P4/mmm (123)
* calculated formation energy: -0.351 eV/atom

No. 4
VASP calculation (PBE-GGA) on a relaxed Sr2MgSc crystal.

a = 7.439 Å, b = 7.439 Å, c = 7.439 Å
α = 102.71°, β = 102.71°, γ = 124.06°
Fractional positions:
Sr (0.107, 0.125, 0.482)
Sr (0.375, 0.893, 0.018)
Sr (0.643, 0.625, 0.518)
Sr (0.875, 0.357, 0.982)
Mg (0.000, 0.000, 0.000)
Mg (0.750, 0.250, 0.500)
Sc (0.250, 0.750, 0.500)
Sc (0.500, 0.500, 0.000)

* energy: -2.35 eV/atom
* space group: I-42d (122)
* calculated formation energy: 0.477 eV/atom

No. 5
VASP calculation (PBE-GGA) on a relaxed Ca2TiAl2 crystal.

a = 8.850 Å, b = 8.850 Å, c = 3.109 Å
α = 90.00°, β = 90.00°, γ = 90.00°
Fractional positions:
Ca (0.126, 0.374, 0.000)
Ca (0.374, 0.874, 0.000)
Ca (0.626, 0.126, 0.000)
Ca (0.874, 0.626, 0.000)
Ti (0.000, 0.000, 0.000)
Ti (0.500, 0.500, 0.000)
Al (0.173, 0.673, 0.500)
Al (0.327, 0.173, 0.500)
Al (0.673, 0.827, 0.500)
Al (0.827, 0.327, 0.500)

* energy relative to the lowest polymorph listed for this composition: 300.4 meV/atom
* energy: -3.52 eV/atom
* space group: P4/mbm (127)
* calculated formation energy: 0.361 eV/atom

No. 6
VASP calculation (PBE-GGA) on a relaxed LuCdBiAu crystal.

a = 5.168 Å, b = 5.168 Å, c = 5.168 Å
α = 60.00°, β = 60.00°, γ = 60.00°
Fractional positions:
Lu (0.000, 0.000, 0.000)
Cd (0.500, 0.500, 0.500)
Bi (0.250, 0.250, 0.250)
Au (0.750, 0.750, 0.750)

* energy: -3.45 eV/atom
* space group: F-43m (216)
* calculated formation energy: -0.302 eV/atom

No. 7
VASP calculation (PBE-GGA) on a relaxed Cd2CoPd2 crystal.

a = 7.694 Å, b = 7.694 Å, c = 3.018 Å
α = 90.00°, β = 90.00°, γ = 90.00°
Fractional positions:
Cd (0.144, 0.356, 0.000)
Cd (0.356, 0.856, 0.000)
Cd (0.644, 0.144, 0.000)
Cd (0.856, 0.644, 0.000)
Co (0.000, 0.000, 0.000)
Co (0.500, 0.500, 0.000)
Pd (0.155, 0.655, 0.500)
Pd (0.345, 0.155, 0.500)
Pd (0.655, 0.845, 0.500)
Pd (0.845, 0.345, 0.500)

* energy relative to the lowest polymorph listed for this composition: 169.2 meV/atom
* energy: -3.69 eV/atom
* space group: P4/mbm (127)
* calculated formation energy: 0.177 eV/atom

No. 8
VASP calculation (PBE-GGA) on a relaxed CaDySc4Se8 crystal.

a = 8.218 Å, b = 8.218 Å, c = 8.218 Å
α = 59.03°, β = 59.03°, γ = 59.03°
Fractional positions:
Ca (0.000, 0.000, 0.000)
Dy (0.370, 0.370, 0.370)
Sc (0.370, 0.370, 0.876)
Sc (0.370, 0.876, 0.370)
Sc (0.744, 0.744, 0.744)
Sc (0.876, 0.370, 0.370)
Se (0.126, 0.126, 0.586)
Se (0.126, 0.586, 0.126)
Se (0.136, 0.136, 0.136)
Se (0.138, 0.620, 0.620)
Se (0.586, 0.126, 0.126)
Se (0.613, 0.613, 0.613)
Se (0.620, 0.138, 0.620)
Se (0.620, 0.620, 0.138)

* energy: -5.95 eV/atom
* ΔE_f (raw): -162 kJ/mol of atoms
* space group: R3m (160)

No. 9
VASP calculation (PBE-GGA) on a relaxed Tb2Pm3Tl2 crystal.

a = 12.386 Å, b = 12.386 Å, c = 3.546 Å
α = 90.00°, β = 90.00°, γ = 156.93°
Fractional positions:
Tb (0.213, 0.787, 0.000)
Tb (0.787, 0.213, 0.000)
Pm (0.357, 0.643, 0.500)
Pm (0.500, 0.500, 0.500)
Pm (0.643, 0.357, 0.500)
Tl (0.073, 0.927, 0.000)
Tl (0.927, 0.073, 0.000)

* energy relative to the lowest polymorph listed for this composition: 97.9 meV/atom
* energy: -4.14 eV/atom
* space group: Cmmm (65)
* calculated formation energy: -0.104 eV/atom

No. 10
VASP calculation (PBE-GGA) on a relaxed Ac3As4Pd2 crystal.

a = 6.222 Å, b = 6.222 Å, c = 8.858 Å
α = 103.24°, β = 103.24°, γ = 43.38°
Fractional positions:
Ac (0.000, 0.000, 0.000)
Ac (0.347, 0.347, 0.337)
Ac (0.653, 0.653, 0.663)
As (0.076, 0.076, 0.373)
As (0.278, 0.278, 0.954)
As (0.722, 0.722, 0.046)
As (0.924, 0.924, 0.627)
Pd (0.375, 0.375, 0.726)
Pd (0.625, 0.625, 0.274)

* energy relative to the lowest polymorph listed for this composition: 0.0 meV/atom
* energy: -5.67 eV/atom
* space group: C2/m (12)
* calculated formation energy: -1.080 eV/atom

No. 11
VASP calculation (PBE-GGA) on a relaxed UPaPdPt crystal.

a = 4.766 Å, b = 4.766 Å, c = 4.766 Å
α = 60.00°, β = 60.00°, γ = 60.00°
Fractional positions:
U (0.000, 0.000, 0.000)
Pa (0.750, 0.750, 0.750)
Pd (0.250, 0.250, 0.250)
Pt (0.500, 0.500, 0.500)

* energy: -8.66 eV/atom
* space group: F-43m (216)
* calculated formation energy: -0.658 eV/atom

No. 12
VASP calculation (PBE-GGA) on a relaxed Mg2MnSi crystal.

a = 9.725 Å, b = 9.725 Å, c = 9.725 Å
α = 17.21°, β = 17.21°, γ = 17.21°
Fractional positions:
Mg (0.247, 0.247, 0.247)
Mg (0.753, 0.753, 0.753)
Mn (0.500, 0.500, 0.500)
Si (0.000, 0.000, 0.000)

* energy: -4.15 eV/atom
* ΔE_f (raw): 28 kJ/mol of atoms
* space group: R-3m (166)

Among the records above, which one has the highest energy?
Sr2MgSc

Which formula does entry 3 have?
Tb3HoTl4

Which formula does entry 9 have?
Tb2Pm3Tl2